Record 1
CrSCl2 | PBE | optimized geometry

a = 4.483 Å, b = 4.483 Å, c = 4.483 Å
α = 60.00°, β = 60.00°, γ = 60.00°
Fractional coordinates of all 4 atoms:
Cr: 0.500 0.500 0.500
S: 0.000 0.000 0.000
Cl: 0.250 0.250 0.250
Cl: 0.750 0.750 0.750

## Properties
energy relative to the lowest polymorph listed for this composition = 1151 meV/atom
raw formation energy = 0.8816 eV/atom
total magnetization = 0.00 μB/cell

***

Record 2
CrSCl | PBE | optimized geometry

a = 3.494 Å, b = 7.038 Å, c = 7.044 Å
α = 68.75°, β = 90.05°, γ = 89.96°
Fractional coordinates of all 6 atoms:
Cr: 0.500 0.385 0.384
Cr: 0.500 0.615 0.616
S: 0.000 0.274 0.273
S: 0.000 0.726 0.727
Cl: 0.501 0.271 0.729
Cl: 0.499 0.729 0.271

## Properties
raw formation energy = -0.4929 eV/atom
total magnetization = 4.02 μB/cell

***

Record 3
CrSCl | PBE | optimized geometry

a = 3.441 Å, b = 3.441 Å, c = 6.484 Å
α = 90.00°, β = 90.00°, γ = 120.00°
Fractional coordinates of all 3 atoms:
Cr: 0.000 0.000 0.398
S: 0.333 0.667 0.209
Cl: 0.667 0.333 0.630

## Properties
raw formation energy = -0.8889 eV/atom
total magnetization = 3.00 μB/cell

***

Record 4
CrSCl | PBE | optimized geometry

a = 6.746 Å, b = 3.442 Å, c = 5.960 Å
α = 90.00°, β = 106.13°, γ = 90.00°
Fractional coordinates of all 6 atoms:
Cr: 0.602 0.000 0.071
Cr: 0.602 0.500 0.571
S: 0.791 0.000 0.797
S: 0.791 0.500 0.297
Cl: 0.370 0.000 0.331
Cl: 0.370 0.500 0.831

## Properties
raw formation energy = -0.8888 eV/atom
total magnetization = 6.00 μB/cell

***

Record 5
CrS5Cl | PBE | optimized geometry

a = 5.790 Å, b = 4.545 Å, c = 8.618 Å
α = 101.77°, β = 106.80°, γ = 100.23°
Fractional coordinates of all 7 atoms:
Cr: 0.849 0.349 0.697
S: 0.967 0.226 0.184
S: 0.013 0.513 0.026
S: 0.217 0.958 0.184
S: 0.246 0.504 0.684
S: 0.437 0.180 0.684
Cl: 0.802 0.802 0.604

## Properties
raw formation energy = -0.1202 eV/atom
total magnetization = 3.13 μB/cell

***

Record 6
CrS2Cl | PBE | optimized geometry

a = 6.233 Å, b = 6.233 Å, c = 6.454 Å
α = 61.12°, β = 61.12°, γ = 90.00°
Fractional coordinates of all 8 atoms:
Cr: 0.000 0.000 0.000
Cr: 0.750 0.250 0.500
S: 0.730 0.125 0.250
S: 0.020 0.625 0.250
S: 0.375 0.270 0.750
S: 0.875 0.980 0.750
Cl: 0.500 0.500 0.000
Cl: 0.250 0.750 0.500

## Properties
energy relative to the lowest polymorph listed for this composition = 276 meV/atom
raw formation energy = -0.1292 eV/atom
total magnetization = 2.06 μB/cell